A PBEsol-optimized structure of BaOs2Br. Source: Alexandria, functional SCAN.

Unit cell a=3.9218 b=3.9218 c=6.6324 alpha=107.20 beta=107.20 gamma=90.00
Fractional coordinates of all 4 atoms:
Os (0.7500, 0.2500, 0.5000)
Os (0.2500, 0.7500, 0.5000)
Ba (0.5000, 0.5000, 0.0000)
Br (0.0000, 0.0000, 0.0000)

## Properties
The calculation puts the density of states at the Fermi level at 3.79 states/eV/f.u. Its magnetization is 0.0 μB per cell. For the energy above the lowest structure with this stoichiometry, the calculation gives 850 meV per atom. As for the raw total energy: -49.5189 eV per atom. As for the raw formation energy: 1174 meV/atom.